Pd2RuWO after structural relaxation, computed with PBE+U.

As for the crystal system: tetragonal. The calculation puts the total energy at -5.975 eV per atom. The calculation puts the mass density at 11.8 g cm⁻³. As for the symmetry: No. 123. The calculated volume comes out at 72 Å³/f.u.

Cell lengths 4.2302, 4.0395, 4.2302 Å; angles 90.00, 90.00, 90.00 degrees
With the nearest neighbours (Å) after each atom.
Fractional positions:
O (0.0000, 0.0000, 0.0000)  2 W 2.02, 4 Pd 2.12
Ru (0.5000, 0.5000, 0.5000)  8 Pd 2.92, 4 W 2.99
Pd (0.0000, 0.0000, 0.5000)  2 O 2.12
Pd (0.5000, 0.0000, 0.0000)  2 O 2.12
W (0.0000, 0.5000, 0.0000)  2 O 2.02